# Cr2AgSeF (PBE with a Hubbard U, relaxed)
data_Cr2AgSeF
_cell_length_a 5.262
_cell_length_b 5.262
_cell_length_c 4.076
_cell_angle_alpha 90.00
_cell_angle_beta 90.00
_cell_angle_gamma 90.00
_space_group_name_H-M_alt 'P 4/m m m'
_space_group_IT_number 123
_space_group_name_Hall '-P 4 2'
loop_
_atom_site_label
_atom_site_fract_x
_atom_site_fract_y
_atom_site_fract_z
Cr1 0.000 0.500 0.000
Ag1 0.000 0.000 0.000
Se1 0.500 0.500 0.500
F1 0.000 0.000 0.500
# - Magnetic moment: 9.73 μB/cell
# - Calculated total energy: -22.6 eV/cell
# - Fermi-level density of states: 0.280 states/eV/atom